Record 1
Computed, not measured: an optimized crystal structure of PmZnAsO at the PBE level of DFT.

Values from the calculation:
The spin magnetization is 0.00 μB per formula unit. The value obtained for the calculated total energy is -22.84 eV per formula unit. As for the formation energy without anion corrections: -1803 meV per atom.

Geometry as CIF:
```
data_PmZnAsO
_symmetry_space_group_name_H-M 'P 4/n m m'
_symmetry_Int_Tables_number 129
_cell_length_a 4.0434
_cell_length_b 4.0434
_cell_length_c 9.0614
_cell_angle_alpha 90.00
_cell_angle_beta 90.00
_cell_angle_gamma 90.00
loop_
_symmetry_equiv_pos_as_xyz
'x,y,z'
'-x,-y,-z'
'-y+1/2,x,z'
'y+1/2,-x,-z'
'-x+1/2,-y+1/2,z'
'x+1/2,y+1/2,-z'
'y,-x+1/2,z'
'-y,x+1/2,-z'
'x+1/2,-y,-z'
'-x+1/2,y,z'
'-y,-x,-z'
'y,x,z'
'-x,y+1/2,-z'
'x,-y+1/2,z'
'y+1/2,x+1/2,-z'
'-y+1/2,-x+1/2,z'
loop_
_atom_site_label
_atom_site_fract_x
_atom_site_fract_y
_atom_site_fract_z
Pm1 0.2500 0.2500 0.1280
Zn1 0.2500 0.7500 0.5000
As1 0.2500 0.2500 0.6772
O1 0.2500 0.7500 0.0000
```

---

Record 2
Computed, not measured: an optimized crystal structure of PmZnAs2O8 at the PBE level of DFT.

Values from the calculation:
The spin magnetization is 1.06 μB per formula unit. The value obtained for the calculated total energy is -73.84 eV per formula unit. As for the formation energy without anion corrections: -1571 meV per atom.

Geometry as CIF:
```
data_PmZnAs2O8
_symmetry_space_group_name_H-M 'I -4 m 2'
_symmetry_Int_Tables_number 119
_symmetry_space_group_name_Hall 'I -4 -2'
_cell_length_a 7.1648
_cell_length_b 7.1648
_cell_length_c 6.3693
_cell_angle_alpha 90.00
_cell_angle_beta 90.00
_cell_angle_gamma 90.00
loop_
_atom_site_label
_atom_site_fract_x
_atom_site_fract_y
_atom_site_fract_z
Pm1 0.0000 0.0000 0.0000
Zn1 0.0000 0.5000 0.2500
As1 0.0000 0.0000 0.5000
As2 0.0000 0.5000 0.7500
O1 0.0000 0.1865 0.3273
O2 0.0000 0.3211 0.9285
```

---

Record 3
Computed, not measured: an optimized crystal structure of PmZn2AsO6 at the PBE level of DFT.

Values from the calculation:
The spin magnetization is 0.00 μB per formula unit. The value obtained for the calculated total energy is -59.92 eV per formula unit. As for the formation energy without anion corrections: -1822 meV per atom.

Geometry as CIF:
```
data_PmZn2AsO6
_symmetry_space_group_name_H-M 'C 1 2/c 1'
_symmetry_Int_Tables_number 15
_symmetry_space_group_name_Hall '-C 2yc'
_cell_length_a 11.2314
_cell_length_b 8.8502
_cell_length_c 6.6097
_cell_angle_alpha 90.00
_cell_angle_beta 117.49
_cell_angle_gamma 90.00
loop_
_atom_site_label
_atom_site_fract_x
_atom_site_fract_y
_atom_site_fract_z
Pm1 0.0000 0.2124 0.2500
Zn1 0.1868 0.4699 0.1596
As1 0.0000 0.1675 0.7500
O1 0.0871 0.2716 0.9920
O2 0.1053 0.0532 0.6928
O3 0.1554 0.3996 0.4101
```

---

Record 4
Computed, not measured: an optimized crystal structure of PmZrAs2O8 at the PBE level of DFT.

Values from the calculation:
The spin magnetization is 0.00 μB per formula unit. The value obtained for the calculated total energy is -88.24 eV per formula unit. As for the formation energy without anion corrections: -2165 meV per atom.

Geometry as CIF:
```
data_PmZrAs2O8
_symmetry_space_group_name_H-M 'I -4 m 2'
_symmetry_Int_Tables_number 119
_symmetry_space_group_name_Hall 'I -4 -2'
_cell_length_a 7.1203
_cell_length_b 7.1203
_cell_length_c 6.4590
_cell_angle_alpha 90.00
_cell_angle_beta 90.00
_cell_angle_gamma 90.00
loop_
_atom_site_label
_atom_site_fract_x
_atom_site_fract_y
_atom_site_fract_z
Pm1 0.0000 0.0000 0.0000
Zr1 0.0000 0.5000 0.2500
As1 0.0000 0.0000 0.5000
As2 0.0000 0.5000 0.7500
O1 0.0000 0.1994 0.3147
O2 0.0000 0.3251 0.9337
```